(1)
First-principles (PBE-GGA) data for Al2ZnW after structural relaxation, as listed in Alexandria via LeMat-Bulk.

a b c (Å): 4.871 4.871 4.909
angles (deg): 84.03 84.03 32.45
Fractional coordinates of all 4 atoms:
Al: 0.009 0.009 0.992
Al: 0.491 0.491 0.508
W: 0.750 0.750 0.750
Zn: 0.250 0.250 0.250

VASP energy   -5.382 eV per atom
Energy of formation   4.5 kJ/mol of atoms

(2)
First-principles (PBE-GGA) data for AlZn2W after structural relaxation, as listed in Alexandria via LeMat-Bulk.

a b c (Å): 2.726 2.726 8.506
angles (deg): 90.00 90.00 102.92
Fractional coordinates of all 4 atoms:
Al: 0.000 0.000 0.504
Zn: 0.000 0.000 0.999
Zn: 0.500 0.500 0.250
W: 0.500 0.500 0.747

VASP energy   -4.667 eV per atom
Energy of formation   13.9 kJ/mol of atoms